First-principles (PBE) data for a relaxed Pa3Si2Ni3 crystal, as listed in the Alexandria database.

Cell: 4.0738 10.2477 13.5002 Å, 90.00 90.00 90.00°
With the nearest neighbours (Å) after each atom.
Space group Cmcm (No. 63)
One atom of each set of equivalent atoms:
Pa: 0.0000 0.0788 0.1053 [8 per cell]  6 Ni 2.84-3.01, 4 Si 2.96-3.08
Pa: 0.0000 0.3676 0.2500 [4 per cell]  5 Ni 2.86-2.99, 4 Si 2.98
Si: 0.0000 0.2099 0.6002 [8 per cell]  4 Ni 2.39-2.56
Ni: 0.0000 0.3462 0.7500 [4 per cell]  2 Si 2.46
Ni: 0.0000 0.3815 0.0381 [8 per cell]  3 Si 2.39-2.56, 1 Ni 2.64

Computed properties:
Size of the total moment = 0.000 μB/f.u.
Electronic total energy = -7.660 eV per atom